# 1
! CaNd2Er, optimized geometry, DFT PBE; values from VASP
! D(E_F) (states/eV per atom): 1.4684
! Energy relative to the elements (kJ per mole of atoms): 4
! Total moment (Bohr magnetons per cell): 0.00
! Energy (eV for the cell shown): -15.92
&SYSTEM
  ibrav = 0, nat = 4, ntyp = 3
/
ATOMIC_SPECIES
Ca 40.08 Ca.upf
Nd 144.24 Nd.upf
Er 167.26 Er.upf
ATOMIC_POSITIONS angstrom
Ca 2.829 -0.015 5.124
Nd 6.585 0.414 4.610
Nd 2.003 0.126 1.403
Er -1.465 -0.285 2.118
CELL_PARAMETERS angstrom
-1.737 2.287 2.275
-1.193 -2.856 1.960
8.588 0.540 6.013

# 2
! Ca2Nd2Er, optimized geometry, DFT PBE; values from VASP
! D(E_F) (states/eV per atom): 1.2111
! Energy relative to the elements (kJ per mole of atoms): 3
! Total moment (Bohr magnetons per cell): 0.00
! Energy (eV for the cell shown): -17.92
&SYSTEM
  ibrav = 0, nat = 5, ntyp = 3
/
ATOMIC_SPECIES
Ca 40.08 Ca.upf
Nd 144.24 Nd.upf
Er 167.26 Er.upf
ATOMIC_POSITIONS angstrom
Ca -3.033 -0.386 9.130
Ca -4.727 -0.997 5.635
Nd -2.346 -0.503 2.619
Nd -5.414 -0.880 12.146
Er 0.000 0.000 0.000
CELL_PARAMETERS angstrom
-3.538 0.949 -0.393
-2.593 -2.608 -0.229
-1.629 0.275 15.387